Entry 1:
## CrReMo2 (GGA-PBEsol)

Data for a relaxed CrReMo2 crystal.

* offset from the most stable computed form: 0.0000 eV per atom
* E_tot: -46.9 eV/cell
* energy relative to the elements: 0.3 eV per formula unit

```
data_CrReMo2
_chemical_formula_sum 'Cr1 Re1 Mo2'
_symmetry_space_group_name_H-M 'P 4/m m m'
_symmetry_Int_Tables_number 123
_symmetry_space_group_name_Hall '-P 4 2'
_cell_length_a 3.038
_cell_length_b 3.038
_cell_length_c 6.126
_cell_angle_alpha 90.00
_cell_angle_beta 90.00
_cell_angle_gamma 90.00
loop_
_atom_site_label
_atom_site_type_symbol
_atom_site_fract_x
_atom_site_fract_y
_atom_site_fract_z
_atom_site_occupancy
Cr1 Cr 0.000 0.000 0.000 1
Re1 Re 0.000 0.000 0.500 1
Mo1 Mo 0.500 0.500 0.237 1
```

Entry 2:
## CrReMo2 (GGA-PBEsol)

Data for a relaxed CrReMo2 crystal.

* offset from the most stable computed form: 0.0046 eV per atom
* E_tot: -93.7 eV/cell
* energy relative to the elements: 0.3 eV per formula unit

```
data_CrReMo2
_chemical_formula_sum 'Cr2 Re2 Mo4'
_symmetry_space_group_name_H-M 'I m m m'
_symmetry_Int_Tables_number 71
_symmetry_space_group_name_Hall '-I 2 2'
_cell_length_a 3.046
_cell_length_b 4.312
_cell_length_c 8.604
_cell_angle_alpha 90.00
_cell_angle_beta 90.00
_cell_angle_gamma 90.00
loop_
_atom_site_label
_atom_site_type_symbol
_atom_site_fract_x
_atom_site_fract_y
_atom_site_fract_z
_atom_site_occupancy
Cr1 Cr 0.000 0.000 0.000 1
Re1 Re 0.000 0.000 0.500 1
Mo1 Mo 0.000 0.500 0.255 1
```

Entry 3:
## CrReMo2 (GGA-PBEsol)

Data for a relaxed CrReMo2 crystal.

* offset from the most stable computed form: 0.0226 eV per atom
* E_tot: -46.8 eV/cell
* energy relative to the elements: 0.3 eV per formula unit

```
data_CrReMo2
_chemical_formula_sum 'Cr1 Re1 Mo2'
_symmetry_space_group_name_H-M 'P 1 m 1'
_symmetry_Int_Tables_number 6
_cell_length_a 2.657
_cell_length_b 4.289
_cell_length_c 5.064
_cell_angle_alpha 90.00
_cell_angle_beta 99.97
_cell_angle_gamma 90.00
loop_
_symmetry_equiv_pos_as_xyz
'x,y,z'
'x,-y,z'
loop_
_atom_site_label
_atom_site_type_symbol
_atom_site_fract_x
_atom_site_fract_y
_atom_site_fract_z
_atom_site_occupancy
Cr1 Cr 0.000 0.000 0.000 1
Re1 Re 0.257 0.500 0.756 1
Mo1 Mo 0.513 0.000 0.502 1
Mo2 Mo 0.756 0.500 0.243 1
```

Entry 4:
## Cr2ReMo (GGA-PBEsol)

Data for a relaxed Cr2ReMo crystal.

* E_tot: -132.8 eV/cell
* energy relative to the elements: 1.3 eV per formula unit

```
data_Cr2ReMo
_chemical_formula_sum 'Cr6 Re3 Mo3'
_symmetry_space_group_name_H-M 'R 3 m'
_symmetry_Int_Tables_number 160
_symmetry_space_group_name_Hall 'R 3 -2"'
_cell_length_a 2.7570
_cell_length_b 2.7570
_cell_length_c 24.3714
_cell_angle_alpha 90.00
_cell_angle_beta 90.00
_cell_angle_gamma 120.00
loop_
_atom_site_label
_atom_site_type_symbol
_atom_site_fract_x
_atom_site_fract_y
_atom_site_fract_z
_atom_site_occupancy
Cr1 Cr 0.0000 0.0000 0.0000 1
Cr2 Cr 0.0000 0.0000 0.2638 1
Re1 Re 0.0000 0.0000 0.7511 1
Mo1 Mo 0.0000 0.0000 0.5108 1
```

Entry 5:
## Cr2ReMo (GGA-PBEsol)

Data for a relaxed Cr2ReMo crystal.

* E_tot: -45.2 eV/cell
* energy relative to the elements: 0.4 eV per formula unit

```
data_Cr2ReMo
_chemical_formula_sum 'Cr2 Re1 Mo1'
_symmetry_space_group_name_H-M 'P 1 2/m 1'
_symmetry_Int_Tables_number 10
_cell_length_a 2.607
_cell_length_b 4.137
_cell_length_c 4.981
_cell_angle_alpha 90.00
_cell_angle_beta 99.82
_cell_angle_gamma 90.00
loop_
_symmetry_equiv_pos_as_xyz
'x,y,z'
'-x,-y,-z'
'-x,y,-z'
'x,-y,z'
loop_
_atom_site_label
_atom_site_type_symbol
_atom_site_fract_x
_atom_site_fract_y
_atom_site_fract_z
_atom_site_occupancy
Cr1 Cr 0.241 0.000 0.247 1
Re1 Re 0.500 0.500 0.000 1
Mo1 Mo 0.000 0.500 0.500 1
```

Entry 6:
## Cr2ReMo (GGA-PBEsol)

Data for a relaxed Cr2ReMo crystal.

* E_tot: -45.2 eV/cell
* energy relative to the elements: 0.4 eV per formula unit

```
data_Cr2ReMo
_chemical_formula_sum 'Cr2 Re1 Mo1'
_symmetry_space_group_name_H-M 'P m m m'
_symmetry_Int_Tables_number 47
_cell_length_a 2.996
_cell_length_b 4.140
_cell_length_c 4.268
_cell_angle_alpha 90.00
_cell_angle_beta 90.00
_cell_angle_gamma 90.00
loop_
_symmetry_equiv_pos_as_xyz
'x,y,z'
'-x,-y,-z'
'-x,-y,z'
'x,y,-z'
'x,-y,-z'
'-x,y,z'
'-x,y,-z'
'x,-y,z'
loop_
_atom_site_label
_atom_site_type_symbol
_atom_site_fract_x
_atom_site_fract_y
_atom_site_fract_z
_atom_site_occupancy
Cr1 Cr 0.000 0.000 0.000 1
Cr2 Cr 0.500 0.000 0.500 1
Re1 Re 0.000 0.500 0.500 1
Mo1 Mo 0.500 0.500 0.000 1
```

Entry 7:
## CrReMo2 (GGA-PBEsol)

Data for a relaxed CrReMo2 crystal.

* offset from the most stable computed form: 0.0156 eV per atom
* E_tot: -46.8 eV/cell
* energy relative to the elements: 0.3 eV per formula unit

```
data_CrReMo2
_chemical_formula_sum 'Cr1 Re1 Mo2'
_symmetry_space_group_name_H-M 'P 4 m m'
_symmetry_Int_Tables_number 99
_cell_length_a 3.044
_cell_length_b 3.044
_cell_length_c 6.116
_cell_angle_alpha 90.00
_cell_angle_beta 90.00
_cell_angle_gamma 90.00
loop_
_symmetry_equiv_pos_as_xyz
'x,y,z'
'-y,x,z'
'-x,-y,z'
'y,-x,z'
'-x,y,z'
'y,x,z'
'x,-y,z'
'-y,-x,z'
loop_
_atom_site_label
_atom_site_type_symbol
_atom_site_fract_x
_atom_site_fract_y
_atom_site_fract_z
_atom_site_occupancy
Cr1 Cr 0.000 0.000 0.000 1
Re1 Re 0.500 0.500 0.752 1
Mo1 Mo 0.000 0.000 0.497 1
Mo2 Mo 0.500 0.500 0.230 1
```

Entry 8:
## CrReMo2 (GGA-PBEsol)

Data for a relaxed CrReMo2 crystal.

* offset from the most stable computed form: 0.0033 eV per atom
* E_tot: -187.4 eV/cell
* energy relative to the elements: 0.3 eV per formula unit

```
data_CrReMo2
_chemical_formula_sum 'Cr4 Re4 Mo8'
_symmetry_space_group_name_H-M 'F m -3 m'
_symmetry_Int_Tables_number 225
_symmetry_space_group_name_Hall '-F 4 2 3'
_cell_length_a 6.103
_cell_length_b 6.103
_cell_length_c 6.103
_cell_angle_alpha 90.00
_cell_angle_beta 90.00
_cell_angle_gamma 90.00
loop_
_atom_site_label
_atom_site_type_symbol
_atom_site_fract_x
_atom_site_fract_y
_atom_site_fract_z
_atom_site_occupancy
Cr1 Cr 0.000 0.000 0.000 1
Re1 Re 0.000 0.000 0.500 1
Mo1 Mo 0.250 0.250 0.250 1
```

Entry 9:
## Cr2ReMo (GGA-PBEsol)

Data for a relaxed Cr2ReMo crystal.

* E_tot: -45.3 eV/cell
* energy relative to the elements: 0.3 eV per formula unit

```
data_Cr2ReMo
_chemical_formula_sum 'Cr2 Re1 Mo1'
_symmetry_space_group_name_H-M 'P 4 m m'
_symmetry_Int_Tables_number 99
_cell_length_a 2.956
_cell_length_b 2.956
_cell_length_c 6.014
_cell_angle_alpha 90.00
_cell_angle_beta 90.00
_cell_angle_gamma 90.00
loop_
_symmetry_equiv_pos_as_xyz
'x,y,z'
'-y,x,z'
'-x,-y,z'
'y,-x,z'
'-x,y,z'
'y,x,z'
'x,-y,z'
'-y,-x,z'
loop_
_atom_site_label
_atom_site_type_symbol
_atom_site_fract_x
_atom_site_fract_y
_atom_site_fract_z
_atom_site_occupancy
Cr1 Cr 0.000 0.000 0.000 1
Cr2 Cr 0.500 0.500 0.228 1
Re1 Re 0.500 0.500 0.755 1
Mo1 Mo 0.000 0.000 0.471 1
```

Entry 10:
## CrRe2Mo (GGA-PBEsol)

Data for a relaxed CrRe2Mo crystal.

* offset from the most stable computed form: 0.0432 eV per atom
* E_tot: -96.2 eV/cell
* energy relative to the elements: 0.6 eV per formula unit

```
data_CrRe2Mo
_chemical_formula_sum 'Cr2 Re4 Mo2'
_symmetry_space_group_name_H-M 'C 1 2/m 1'
_symmetry_Int_Tables_number 12
_cell_length_a 5.272
_cell_length_b 8.587
_cell_length_c 2.651
_cell_angle_alpha 90.00
_cell_angle_beta 109.99
_cell_angle_gamma 90.00
loop_
_symmetry_equiv_pos_as_xyz
'x,y,z'
'-x,-y,-z'
'-x,y,-z'
'x,-y,z'
'x+1/2,y+1/2,z'
'-x+1/2,-y+1/2,-z'
'-x+1/2,y+1/2,-z'
'x+1/2,-y+1/2,z'
loop_
_atom_site_label
_atom_site_type_symbol
_atom_site_fract_x
_atom_site_fract_y
_atom_site_fract_z
_atom_site_occupancy
Cr1 Cr 0.000 0.000 0.000 1
Re1 Re 0.250 0.250 0.500 1
Mo1 Mo 0.000 0.500 0.000 1
```

Entry 11:
## CrReMo2 (GGA-PBEsol)

Data for a relaxed CrReMo2 crystal.

* offset from the most stable computed form: 0.0452 eV per atom
* E_tot: -93.4 eV/cell
* energy relative to the elements: 0.4 eV per formula unit

```
data_CrReMo2
_chemical_formula_sum 'Cr2 Re2 Mo4'
_symmetry_space_group_name_H-M 'C m m m'
_symmetry_Int_Tables_number 65
_symmetry_space_group_name_Hall '-C 2 2'
_cell_length_a 3.053
_cell_length_b 4.359
_cell_length_c 8.524
_cell_angle_alpha 90.00
_cell_angle_beta 90.00
_cell_angle_gamma 90.00
loop_
_atom_site_label
_atom_site_type_symbol
_atom_site_fract_x
_atom_site_fract_y
_atom_site_fract_z
_atom_site_occupancy
Cr1 Cr 0.000 0.000 0.000 1
Re1 Re 0.000 0.000 0.500 1
Mo1 Mo 0.000 0.500 0.238 1
```

Entry 12:
## CrReMo2 (GGA-PBEsol)

Data for a relaxed CrReMo2 crystal.

* offset from the most stable computed form: 0.0277 eV per atom
* E_tot: -93.5 eV/cell
* energy relative to the elements: 0.4 eV per formula unit

```
data_CrReMo2
_chemical_formula_sum 'Cr2 Re2 Mo4'
_symmetry_space_group_name_H-M 'C 1 2/m 1'
_symmetry_Int_Tables_number 12
_cell_length_a 5.259
_cell_length_b 8.620
_cell_length_c 2.660
_cell_angle_alpha 90.00
_cell_angle_beta 109.40
_cell_angle_gamma 90.00
loop_
_symmetry_equiv_pos_as_xyz
'x,y,z'
'-x,-y,-z'
'-x,y,-z'
'x,-y,z'
'x+1/2,y+1/2,z'
'-x+1/2,-y+1/2,-z'
'-x+1/2,y+1/2,-z'
'x+1/2,-y+1/2,z'
loop_
_atom_site_label
_atom_site_type_symbol
_atom_site_fract_x
_atom_site_fract_y
_atom_site_fract_z
_atom_site_occupancy
Cr1 Cr 0.000 0.000 0.000 1
Re1 Re 0.000 0.500 0.000 1
Mo1 Mo 0.250 0.250 0.500 1
```

Entry 13:
## CrReMo2 (GGA-PBEsol)

Data for a relaxed CrReMo2 crystal.

* offset from the most stable computed form: 0.0149 eV per atom
* E_tot: -93.6 eV/cell
* energy relative to the elements: 0.3 eV per formula unit

```
data_CrReMo2
_chemical_formula_sum 'Cr2 Re2 Mo4'
_symmetry_space_group_name_H-M 'I m m 2'
_symmetry_Int_Tables_number 44
_cell_length_a 3.051
_cell_length_b 4.333
_cell_length_c 8.587
_cell_angle_alpha 90.00
_cell_angle_beta 90.00
_cell_angle_gamma 90.00
loop_
_symmetry_equiv_pos_as_xyz
'x,y,z'
'-x,-y,z'
'-x,y,z'
'x,-y,z'
'x+1/2,y+1/2,z+1/2'
'-x+1/2,-y+1/2,z+1/2'
'-x+1/2,y+1/2,z+1/2'
'x+1/2,-y+1/2,z+1/2'
loop_
_atom_site_label
_atom_site_type_symbol
_atom_site_fract_x
_atom_site_fract_y
_atom_site_fract_z
_atom_site_occupancy
Cr1 Cr 0.000 0.000 0.000 1
Re1 Re 0.000 0.500 0.250 1
Mo1 Mo 0.000 0.000 0.495 1
Mo2 Mo 0.000 0.500 0.744 1
```

Entry 14:
## Cr2ReMo (GGA-PBEsol)

Data for a relaxed Cr2ReMo crystal.

* E_tot: -181.0 eV/cell
* energy relative to the elements: 0.3 eV per formula unit

```
data_Cr2ReMo
_chemical_formula_sum 'Cr8 Re4 Mo4'
_symmetry_space_group_name_H-M 'F -4 3 m'
_symmetry_Int_Tables_number 216
_symmetry_space_group_name_Hall 'F -4 2 3'
_cell_length_a 5.956
_cell_length_b 5.956
_cell_length_c 5.956
_cell_angle_alpha 90.00
_cell_angle_beta 90.00
_cell_angle_gamma 90.00
loop_
_atom_site_label
_atom_site_type_symbol
_atom_site_fract_x
_atom_site_fract_y
_atom_site_fract_z
_atom_site_occupancy
Cr1 Cr 0.000 0.000 0.000 1
Cr2 Cr 0.250 0.250 0.250 1
Re1 Re 0.250 0.250 0.750 1
Mo1 Mo 0.000 0.000 0.500 1
```

Entry 15:
## CrRe2Mo (GGA-PBEsol)

Data for a relaxed CrRe2Mo crystal.

* offset from the most stable computed form: 0.0000 eV per atom
* E_tot: -48.3 eV/cell
* energy relative to the elements: 0.4 eV per formula unit

```
data_CrRe2Mo
_chemical_formula_sum 'Cr1 Re2 Mo1'
_symmetry_space_group_name_H-M 'P 4/m m m'
_symmetry_Int_Tables_number 123
_symmetry_space_group_name_Hall '-P 4 2'
_cell_length_a 3.024
_cell_length_b 3.024
_cell_length_c 6.113
_cell_angle_alpha 90.00
_cell_angle_beta 90.00
_cell_angle_gamma 90.00
loop_
_atom_site_label
_atom_site_type_symbol
_atom_site_fract_x
_atom_site_fract_y
_atom_site_fract_z
_atom_site_occupancy
Cr1 Cr 0.000 0.000 0.000 1
Re1 Re 0.500 0.500 0.234 1
Mo1 Mo 0.000 0.000 0.500 1
```